[1]
Ac2Zn4GeAu3 | PBE-GGA | optimized geometry Values from VASP.

Computed properties:
- Energy relative to the elements: -0.532 eV/atom
- SG: P-4m2, No. 115
- Total magnetization: 0.0000 μB/atom
- V: 22.00 A^3/atom

Geometry as Quantum ESPRESSO input:
```
&SYSTEM
  ibrav = 0, nat = 10, ntyp = 4
/
ATOMIC_SPECIES
Ac 227.00 Ac.upf
Zn 65.41 Zn.upf
Ge 72.64 Ge.upf
Au 196.97 Au.upf
ATOMIC_POSITIONS crystal
Ac 0.000 0.500 0.247
Ac 0.500 0.000 0.753
Zn 0.000 0.000 0.500
Zn 0.000 0.500 0.873
Zn 0.500 0.000 0.127
Zn 0.500 0.500 0.500
Ge 0.500 0.500 0.000
Au 0.000 0.000 0.000
Au 0.000 0.500 0.633
Au 0.500 0.000 0.367
CELL_PARAMETERS angstrom
4.510 0.000 0.000
0.000 4.510 0.000
0.000 0.000 10.813
```

[2]
AcH3Au | PBE-GGA | optimized geometry Values from VASP.

Computed properties:
- E_tot: -18.508 eV for the cell shown
- SG: R-3m, No. 166
- Total magnetization: 0.0000 μB/atom
- V: 13.01 A^3/atom

Geometry as Quantum ESPRESSO input:
```
&SYSTEM
  ibrav = 0, nat = 5, ntyp = 3
/
ATOMIC_SPECIES
Ac 227.00 Ac.upf
H 1.01 H.upf
Au 196.97 Au.upf
ATOMIC_POSITIONS crystal
Ac 0.000 0.000 0.000
H 0.000 0.500 0.500
H 0.500 0.000 0.500
H 0.500 0.500 0.000
Au 0.500 0.500 0.500
CELL_PARAMETERS angstrom
2.846 1.643 2.318
-2.846 1.643 2.318
0.000 -3.286 2.318
```

[3]
Ac2H3Au | PBE-GGA | optimized geometry Values from VASP.

Computed properties:
- E_tot: -49.990 eV for the cell shown
- SG: C2/m, No. 12
- Total magnetization: 0.0000 μB/atom
- V: 19.36 A^3/atom

Geometry as Quantum ESPRESSO input:
```
&SYSTEM
  ibrav = 0, nat = 12, ntyp = 3
/
ATOMIC_SPECIES
Ac 227.00 Ac.upf
H 1.01 H.upf
Au 196.97 Au.upf
ATOMIC_POSITIONS crystal
Ac 0.030 0.030 0.269
Ac 0.292 0.292 0.296
Ac 0.708 0.708 0.704
Ac 0.970 0.970 0.731
H 0.099 0.099 0.629
H 0.198 0.198 0.492
H 0.434 0.434 0.561
H 0.566 0.566 0.439
H 0.802 0.802 0.508
H 0.901 0.901 0.371
Au 0.380 0.380 0.957
Au 0.620 0.620 0.043
CELL_PARAMETERS angstrom
7.936 -2.039 0.000
7.936 2.039 0.000
-3.125 0.000 7.176
```